The following is a PBE calculation of a geometry-optimized Y4Er3Ni2Te2 structure, from OQMD via LeMat-Bulk.

```
data_Y4Er3Ni2Te2
_space_group_name_H-M_alt 'I m m 2'
_space_group_IT_number 44
_cell_length_a 3.847
_cell_length_b 15.584
_cell_length_c 9.572
_cell_angle_alpha 90.00
_cell_angle_beta 90.00
_cell_angle_gamma 90.00
loop_
_space_group_symop_operation_xyz
'x,y,z'
'-x,-y,z'
'-x,y,z'
'x,-y,z'
'x+1/2,y+1/2,z+1/2'
'-x+1/2,-y+1/2,z+1/2'
'-x+1/2,y+1/2,z+1/2'
'x+1/2,-y+1/2,z+1/2'
loop_
_atom_site_label
_atom_site_fract_x
_atom_site_fract_y
_atom_site_fract_z
Y1 0.000 0.146 0.000
Y2 0.000 0.184 0.352
Er1 0.000 0.368 0.149
Er2 0.000 0.500 0.732
Ni1 0.000 0.261 0.659
Te1 0.000 0.000 0.496
Te2 0.000 0.500 0.395
```

Output
Energy above the most stable polymorph in this dataset: 0.008 eV per atom
Electronic total energy: -5.85 eV per atom
Magnetization: 0.01 μB per formula unit

The following is a PBE calculation of a geometry-optimized Y2Er5Ni2Te2 structure, from OQMD via LeMat-Bulk.

```
data_Y2Er5Ni2Te2
_space_group_name_H-M_alt 'I m m 2'
_space_group_IT_number 44
_cell_length_a 3.833
_cell_length_b 15.534
_cell_length_c 9.548
_cell_angle_alpha 90.00
_cell_angle_beta 90.00
_cell_angle_gamma 90.00
loop_
_space_group_symop_operation_xyz
'x,y,z'
'-x,-y,z'
'-x,y,z'
'x,-y,z'
'x+1/2,y+1/2,z+1/2'
'-x+1/2,-y+1/2,z+1/2'
'-x+1/2,y+1/2,z+1/2'
'x+1/2,-y+1/2,z+1/2'
loop_
_atom_site_label
_atom_site_fract_x
_atom_site_fract_y
_atom_site_fract_z
Y1 0.000 0.184 0.000
Er1 0.000 0.147 0.649
Er2 0.000 0.368 0.798
Er3 0.000 0.500 0.379
Ni1 0.000 0.261 0.307
Te1 0.000 0.000 0.144
Te2 0.000 0.500 0.044
```

Output
Energy above the most stable polymorph in this dataset: 0.010 eV per atom
Electronic total energy: -5.50 eV per atom
Magnetization: 0.01 μB per formula unit

The following is a PBE calculation of a geometry-optimized Y2Er5Ni2Te2 structure, from OQMD via LeMat-Bulk.

```
data_Y2Er5Ni2Te2
_space_group_name_H-M_alt 'I m m 2'
_space_group_IT_number 44
_cell_length_a 3.835
_cell_length_b 15.565
_cell_length_c 9.532
_cell_angle_alpha 90.00
_cell_angle_beta 90.00
_cell_angle_gamma 90.00
loop_
_space_group_symop_operation_xyz
'x,y,z'
'-x,-y,z'
'-x,y,z'
'x,-y,z'
'x+1/2,y+1/2,z+1/2'
'-x+1/2,-y+1/2,z+1/2'
'-x+1/2,y+1/2,z+1/2'
'x+1/2,-y+1/2,z+1/2'
loop_
_atom_site_label
_atom_site_fract_x
_atom_site_fract_y
_atom_site_fract_z
Y1 0.000 0.131 0.000
Er1 0.000 0.000 0.582
Er2 0.000 0.315 0.201
Er3 0.000 0.353 0.853
Ni1 0.000 0.237 0.510
Te1 0.000 0.000 0.248
Te2 0.000 0.500 0.345
```

Output
Energy above the most stable polymorph in this dataset: 0.001 eV per atom
Electronic total energy: -5.51 eV per atom
Magnetization: 0.02 μB per formula unit

The following is a PBE calculation of a geometry-optimized YEr6Ni2Te2 structure, from OQMD via LeMat-Bulk.

```
data_YEr6Ni2Te2
_space_group_name_H-M_alt 'I m m 2'
_space_group_IT_number 44
_cell_length_a 3.827
_cell_length_b 15.499
_cell_length_c 9.503
_cell_angle_alpha 90.00
_cell_angle_beta 90.00
_cell_angle_gamma 90.00
loop_
_space_group_symop_operation_xyz
'x,y,z'
'-x,-y,z'
'-x,y,z'
'x,-y,z'
'x+1/2,y+1/2,z+1/2'
'-x+1/2,-y+1/2,z+1/2'
'-x+1/2,y+1/2,z+1/2'
'x+1/2,-y+1/2,z+1/2'
loop_
_atom_site_label
_atom_site_fract_x
_atom_site_fract_y
_atom_site_fract_z
Y1 0.000 0.000 0.000
Er1 0.000 0.132 0.418
Er2 0.000 0.315 0.620
Er3 0.000 0.353 0.269
Ni1 0.000 0.238 0.928
Te1 0.000 0.000 0.664
Te2 0.000 0.500 0.765
```

Output
Electronic total energy: -5.35 eV per atom
Magnetization: 0.01 μB per formula unit